Entry from the Alexandria database: an optimized crystal structure of CaZrSc2Fe (PBE).

The structure belongs to space group P4/mmm (No. 123); the cell edges are 5.0793, 5.0793 and 4.3023 Å and the angles 90.00°, 90.00° and 90.00°. The inequivalent atoms are Ca at (0.0000, 0.0000, 0.0000), Zr at (0.5000, 0.5000, 0.5000), Sc at (0.0000, 0.5000, 0.0000) and Fe at (0.0000, 0.0000, 0.5000).

The calculation puts the final energy at -5.0064 eV/atom. Its spin magnetization is 0.0 μB/cell. For the formation energy, the calculation gives 1.329 eV per atom. The calculation puts the polymorph energy (0 for the lowest one) at 1254 meV per atom.


Entry from the Alexandria database: an optimized crystal structure of CaFeSe2 (PBE).

The structure belongs to space group R-3m (No. 166, hexagonal axes); the cell edges are 4.4000, 4.4000 and 22.7877 Å and the angles 90.00°, 90.00° and 120.00°. The inequivalent atoms are Ca at (0.0000, 0.0000, 0.0000), Fe at (0.0000, 0.0000, 0.5000) and Se at (0.0000, 0.0000, 0.4001).

The calculation puts the final energy at -4.9796 eV/atom. The formation energy from raw total energies is -14.3 kcal/mol of atoms. Its spin magnetization is 12.0 μB/cell. The calculation puts the polymorph energy (0 for the lowest one) at 271 meV per atom.


Entry from the Alexandria database: an optimized crystal structure of CaFeSe2 (PBE).

The structure belongs to space group R-3m (No. 166, hexagonal axes); the cell edges are 3.8407, 3.8407 and 18.0516 Å and the angles 90.00°, 90.00° and 120.00°. The inequivalent atoms are Ca at (0.0000, 0.0000, 0.0000), Fe at (0.0000, 0.0000, 0.5000) and Se at (0.0000, 0.0000, 0.2297).

The calculation puts the final energy at -5.1534 eV/atom. The formation energy from raw total energies is -18.3 kcal/mol of atoms. Its spin magnetization is 0.0 μB/cell. The calculation puts the polymorph energy (0 for the lowest one) at 97 meV per atom.


Entry from the Alexandria database: an optimized crystal structure of CaFeSe2 (PBE).

The structure belongs to space group P4/mmm (No. 123); the cell edges are 3.4248, 3.4248 and 6.9013 Å and the angles 90.00°, 90.00° and 90.00°. The inequivalent atoms are Ca at (0.0000, 0.0000, 0.0000), Fe at (0.0000, 0.0000, 0.5000) and Se at (0.5000, 0.5000, 0.2716).

The calculation puts the final energy at -4.8997 eV/atom. The formation energy from raw total energies is -12.5 kcal/mol of atoms. Its spin magnetization is 3.6 μB/cell. The calculation puts the polymorph energy (0 for the lowest one) at 351 meV per atom.


Entry from the Alexandria database: an optimized crystal structure of CaFeSe2 (PBE).

The structure belongs to space group Cm (No. 8); the cell edges are 13.1072, 3.6968 and 3.8890 Å and the angles 90.00°, 90.07° and 90.00°. The inequivalent atoms are Ca at (0.0000, 0.0000, 0.0000), Fe at (0.2396, 0.0000, 0.4420), Se at (0.1884, 0.5000, 0.0118) and Se at (0.4221, 0.0000, 0.4997).

The calculation puts the final energy at -5.1473 eV/atom. The formation energy from raw total energies is -18.2 kcal/mol of atoms. Its spin magnetization is 7.9 μB/cell. The calculation puts the polymorph energy (0 for the lowest one) at 103 meV per atom.


Entry from the Alexandria database: an optimized crystal structure of Ca2FeSe4 (PBE).

The structure belongs to space group I4/mmm (No. 139); the cell edges are 4.7722, 4.7722 and 14.9886 Å and the angles 90.00°, 90.00° and 90.00°. The inequivalent atoms are Ca at (0.0000, 0.0000, 0.1384), Fe at (0.0000, 0.0000, 0.5000), Se at (0.0000, 0.0000, 0.3310) and Se at (0.0000, 0.5000, 0.0000).

The calculation puts the final energy at -4.7102 eV/atom. The formation energy from raw total energies is -21.6 kcal/mol of atoms. Its spin magnetization is 6.4 μB/cell.


Entry from the Alexandria database: an optimized crystal structure of Ca4FeSe (PBE).

The structure belongs to space group F-43m (No. 216); the cell edges are 9.2161, 9.2161 and 9.2161 Å and the angles 90.00°, 90.00° and 90.00°. The inequivalent atoms are Ca at (0.1246, 0.1246, 0.1246), Fe at (0.2500, 0.2500, 0.7500) and Se at (0.0000, 0.0000, 0.5000).

The calculation puts the final energy at -2.7908 eV/atom. The formation energy from raw total energies is 12.3 kcal/mol of atoms. Its spin magnetization is 7.0 μB/cell.


Entry from the Alexandria database: an optimized crystal structure of CaFeSe2 (PBE).

The structure belongs to space group F-43m (No. 216); the cell edges are 6.9522, 6.9522 and 6.9522 Å and the angles 90.00°, 90.00° and 90.00°. The inequivalent atoms are Ca at (0.0000, 0.0000, 0.0000), Fe at (0.2500, 0.2500, 0.2500), Se at (0.0000, 0.0000, 0.5000) and Se at (0.2500, 0.2500, 0.7500).

The calculation puts the final energy at -4.3112 eV/atom. The formation energy from raw total energies is 1.1 kcal/mol of atoms. Its spin magnetization is 14.2 μB/cell. The calculation puts the polymorph energy (0 for the lowest one) at 939 meV per atom.


Entry from the Alexandria database: an optimized crystal structure of CaFeSe2 (PBE).

The structure belongs to space group P4mm (No. 99); the cell edges are 3.9701, 3.9701 and 5.8385 Å and the angles 90.00°, 90.00° and 90.00°. The inequivalent atoms are Ca at (0.0000, 0.0000, 0.0000), Fe at (0.5000, 0.5000, 0.4481), Se at (0.0000, 0.0000, 0.5015) and Se at (0.5000, 0.5000, 0.0174).

The calculation puts the final energy at -5.1604 eV/atom. The formation energy from raw total energies is -18.5 kcal/mol of atoms. Its spin magnetization is 4.0 μB/cell. The calculation puts the polymorph energy (0 for the lowest one) at 90 meV per atom.


Entry from the Alexandria database: an optimized crystal structure of CaFeSe2 (PBE).

The structure belongs to space group P2/m (No. 10); the cell edges are 3.8690, 3.5648 and 6.7837 Å and the angles 90.00°, 91.84° and 90.00°. The inequivalent atoms are Ca at (0.0000, 0.0000, 0.0000), Fe at (0.5000, 0.0000, 0.5000) and Se at (0.4870, 0.5000, 0.7533).

The calculation puts the final energy at -5.1015 eV/atom. The formation energy from raw total energies is -17.1 kcal/mol of atoms. Its spin magnetization is 3.2 μB/cell. The calculation puts the polymorph energy (0 for the lowest one) at 149 meV per atom.


Entry from the Alexandria database: an optimized crystal structure of CaFeSe2 (PBE).

The structure belongs to space group Immm (No. 71); the cell edges are 3.7620, 6.0330 and 7.6583 Å and the angles 90.00°, 90.00° and 90.00°. The inequivalent atoms are Ca at (0.0000, 0.0000, 0.0000), Fe at (0.0000, 0.0000, 0.5000) and Se at (0.0000, 0.5000, 0.1956).

The calculation puts the final energy at -5.0567 eV/atom. The formation energy from raw total energies is -16.1 kcal/mol of atoms. Its spin magnetization is 4.1 μB/cell. The calculation puts the polymorph energy (0 for the lowest one) at 194 meV per atom.


Entry from the Alexandria database: an optimized crystal structure of CaFeSe2 (PBE).

The structure belongs to space group Amm2 (No. 38); the cell edges are 4.2116, 3.8433 and 12.1239 Å and the angles 90.00°, 90.00° and 90.00°. The inequivalent atoms are Ca at (0.0000, 0.0000, 0.0000), Fe at (0.5000, 0.0000, 0.7807), Se at (0.0000, 0.0000, 0.6836) and Se at (0.5000, 0.0000, 0.4140).

The calculation puts the final energy at -5.2504 eV/atom. The formation energy from raw total energies is -20.6 kcal/mol of atoms. Its spin magnetization is 8.0 μB/cell. The calculation puts the polymorph energy (0 for the lowest one) at 0 meV per atom.